[1]
The following is a PBE-GGA calculation of MnRePb2 after structural relaxation, from Alexandria via LeMat-Bulk.

Computed properties:
**E above lowest polymorph**: 0.552 eV per atom
**Formation energy**: 0.968 eV/atom
**V**: 90.9 Å³/f.u.

Cell: 3.2412 3.2412 29.9893 Å, 90.00 90.00 120.00°
Space group R-3m (No. 166, hexagonal axes)
Inequivalent atoms, fractional coordinates:
1 Mn 0.0000 0.0000 0.0000 [3 per cell]
2 Re 0.0000 0.0000 0.5000 [3 per cell]
3 Pb 0.0000 0.0000 0.0933 [6 per cell]

---

[2]
The following is a PBE-GGA calculation of Pm2IrSe after structural relaxation, from Alexandria via LeMat-Bulk.

Computed properties:
**E above lowest polymorph**: 0.110 eV per atom
**V**: 93.6 Å³/f.u.
**Energy relative to the elements, uncorrected**: -1.09 eV per atom

Cell: 3.568 3.568 7.355 Å, 90.00 90.00 90.00°
Space group P4/mmm (No. 123)
Inequivalent atoms, fractional coordinates:
1 Pm 0.000 0.000 0.234 [2 per cell]
2 Ir 0.500 0.500 0.000 [1 per cell]
3 Se 0.500 0.500 0.500 [1 per cell]

---

[3]
The following is a PBE-GGA calculation of YZrFe3 after structural relaxation, from Alexandria via LeMat-Bulk.

Computed properties:
**E above lowest polymorph**: 0.000 eV per atom
**Formation energy**: 0.899 eV/atom
**V**: 102.8 Å³/f.u.

Cell: 4.684 4.684 4.684 Å, 90.00 90.00 90.00°
Space group Pm-3m (No. 221)
Inequivalent atoms, fractional coordinates:
1 Y 0.000 0.000 0.000 [1 per cell]
2 Zr 0.500 0.500 0.500 [1 per cell]
3 Fe 0.000 0.500 0.500 [3 per cell]

---

[4]
The following is a PBE-GGA calculation of K5Cd4As4 after structural relaxation, from Alexandria via LeMat-Bulk.

Computed properties:
**Formation energy**: -0.357 eV/atom
**V**: 389.3 Å³/f.u.

Cell: 13.132 13.132 4.515 Å, 90.00 90.00 90.00°
Space group I4/m (No. 87)
Inequivalent atoms, fractional coordinates:
1 K 0.000 0.000 0.000 [2 per cell]
2 K 0.138 0.795 0.500 [8 per cell]
3 Cd 0.081 0.391 0.500 [8 per cell]
4 As 0.045 0.275 0.000 [8 per cell]

---

[5]
The following is a PBE-GGA calculation of LaNi2Bi2 after structural relaxation, from Alexandria via LeMat-Bulk.

Computed properties:
**Formation energy**: -0.191 eV/atom
**V**: 111.0 Å³/f.u.

Cell: 7.432 7.432 4.021 Å, 90.00 90.00 90.00°
Space group P4/mbm (No. 127)
Inequivalent atoms, fractional coordinates:
1 La 0.000 0.000 0.000 [2 per cell]
2 Ni 0.115 0.385 0.000 [4 per cell]
3 Bi 0.171 0.671 0.500 [4 per cell]

---

[6]
The following is a PBE-GGA calculation of Pr4Tm5Al after structural relaxation, from Alexandria via LeMat-Bulk.

Computed properties:
**Formation energy**: -0.061 eV/atom
**V**: 310.2 Å³/f.u.

Cell: 3.585 3.585 24.138 Å, 90.00 90.00 90.00°
Space group P4/mmm (No. 123)
Inequivalent atoms, fractional coordinates:
1 Pr 0.000 0.000 0.105 [2 per cell]
2 Pr 0.000 0.000 0.317 [2 per cell]
3 Tm 0.500 0.500 0.000 [1 per cell]
4 Tm 0.500 0.500 0.210 [2 per cell]
5 Tm 0.500 0.500 0.425 [2 per cell]
6 Al 0.000 0.000 0.500 [1 per cell]

---

[7]
The following is a PBE-GGA calculation of BaSr2O after structural relaxation, from Alexandria via LeMat-Bulk.

Computed properties:
**V**: 137.5 Å³/f.u.
**Energy relative to the elements, uncorrected**: -1.14 eV per atom

Cell: 3.8589 3.8589 31.9780 Å, 90.00 90.00 120.00°
Space group R-3m (No. 166, hexagonal axes)
Inequivalent atoms, fractional coordinates:
1 Ba 0.0000 0.0000 0.0000 [3 per cell]
2 Sr 0.0000 0.0000 0.1202 [6 per cell]
3 O 0.0000 0.0000 0.5000 [3 per cell]

---

[8]
The following is a PBE-GGA calculation of PRhBr2 after structural relaxation, from Alexandria via LeMat-Bulk.

Computed properties:
**E above lowest polymorph**: 1.068 eV per atom
**V**: 95.1 Å³/f.u.
**Energy relative to the elements, uncorrected**: 0.56 eV per atom

Cell: 3.6929 3.6929 24.1469 Å, 90.00 90.00 120.00°
Space group R-3m (No. 166, hexagonal axes)
Inequivalent atoms, fractional coordinates:
1 P 0.0000 0.0000 0.0000 [3 per cell]
2 Rh 0.0000 0.0000 0.5000 [3 per cell]
3 Br 0.0000 0.0000 0.1041 [6 per cell]

---

[9]
The following is a PBE-GGA calculation of NpHPd3 after structural relaxation, from Alexandria via LeMat-Bulk.

Computed properties:
**Uncorrected energy**: -33.1 eV/cell
**V**: 75.0 Å³/f.u.

Cell: 4.218 4.218 4.218 Å, 90.00 90.00 90.00°
Space group Pm-3m (No. 221)
Inequivalent atoms, fractional coordinates:
1 Np 0.000 0.000 0.000 [1 per cell]
2 H 0.500 0.500 0.500 [1 per cell]
3 Pd 0.000 0.500 0.500 [3 per cell]

---

[10]
The following is a PBE-GGA calculation of AgMoAs2 after structural relaxation, from Alexandria via LeMat-Bulk.

Computed properties:
**E above lowest polymorph**: 0.257 eV per atom
**Formation energy**: 0.261 eV/atom
**V**: 70.8 Å³/f.u.

Cell: 2.827 4.414 5.677 Å, 90.00 91.15 90.00°
Space group Pm (No. 6)
Inequivalent atoms, fractional coordinates:
1 Ag 0.000 0.000 0.000 [1 per cell]
2 Mo 0.467 0.500 0.707 [1 per cell]
3 As 0.079 0.000 0.531 [1 per cell]
4 As 0.489 0.500 0.161 [1 per cell]

---

[11]
The following is a PBE-GGA calculation of Re3SbAs after structural relaxation, from Alexandria via LeMat-Bulk.

Computed properties:
**E above lowest polymorph**: 0.000 eV per atom
**V**: 98.4 Å³/f.u.
**Energy relative to the elements, uncorrected**: 1.61 eV per atom

Cell: 4.616 4.616 4.616 Å, 90.00 90.00 90.00°
Space group Pm-3m (No. 221)
Inequivalent atoms, fractional coordinates:
1 Re 0.000 0.000 0.500 [3 per cell]
2 Sb 0.500 0.500 0.500 [1 per cell]
3 As 0.000 0.000 0.000 [1 per cell]

---

[12]
The following is a PBE-GGA calculation of Th2Zn3In after structural relaxation, from Alexandria via LeMat-Bulk.

Computed properties:
**E above lowest polymorph**: 0.038 eV per atom
**Formation energy**: -0.238 eV/atom
**V**: 142.2 Å³/f.u.

Cell: 3.889 4.623 15.812 Å, 90.00 90.00 90.00°
Space group Imm2 (No. 44)
Inequivalent atoms, fractional coordinates:
1 Th 0.000 0.000 0.000 [2 per cell]
2 Th 0.000 0.500 0.283 [2 per cell]
3 Zn 0.000 0.000 0.435 [2 per cell]
4 Zn 0.000 0.500 0.687 [2 per cell]
5 Zn 0.000 0.500 0.844 [2 per cell]
6 In 0.000 0.000 0.604 [2 per cell]

---

[13]
The following is a PBE-GGA calculation of TbGaO3 after structural relaxation, from Alexandria via LeMat-Bulk.

Computed properties:
**V**: 57.2 Å³/f.u.
**Energy relative to the elements, uncorrected**: -2.71 eV per atom

Cell: 5.609 7.654 5.325 Å, 90.00 90.00 90.00°
Space group Pnma (No. 62)
Inequivalent atoms, fractional coordinates:
1 Tb 0.067 0.250 0.019 [4 per cell]
2 Ga 0.000 0.000 0.500 [4 per cell]
3 O 0.036 0.750 0.392 [4 per cell]
4 O 0.197 0.555 0.804 [8 per cell]

---

[14]
The following is a PBE-GGA calculation of LiFeIr after structural relaxation, from Alexandria via LeMat-Bulk.

Computed properties:
**E above lowest polymorph**: 0.094 eV per atom
**Formation energy**: 0.056 eV/atom
**V**: 37.6 Å³/f.u.

Cell: 4.588 7.867 4.430 Å, 90.00 109.84 90.00°
Space group C2 (No. 5)
Inequivalent atoms, fractional coordinates:
1 Li 0.000 0.000 0.000 [2 per cell]
2 Li 0.000 0.329 0.000 [2 per cell]
3 Fe 0.000 0.668 0.000 [2 per cell]
4 Fe 0.000 0.829 0.500 [2 per cell]
5 Ir 0.000 0.165 0.500 [2 per cell]
6 Ir 0.000 0.498 0.500 [2 per cell]

---

[15]
The following is a PBE-GGA calculation of Ce2SmFe2N6 after structural relaxation, from Alexandria via LeMat-Bulk.

Computed properties:
**V**: 162.3 Å³/f.u.
**Energy relative to the elements, uncorrected**: -0.57 eV per atom

Cell: 5.5434 5.5434 18.2988 Å, 90.00 90.00 120.00°
Space group R-3m (No. 166, hexagonal axes)
Inequivalent atoms, fractional coordinates:
1 Ce 0.0000 0.0000 0.2044 [6 per cell]
2 Sm 0.0000 0.0000 0.0000 [3 per cell]
3 Fe 0.0000 0.0000 0.4086 [6 per cell]
4 N 0.0067 0.5033 0.7672 [18 per cell]

---

[16]
The following is a PBE-GGA calculation of LiPr2Pu after structural relaxation, from Alexandria via LeMat-Bulk.

Computed properties:
**E above lowest polymorph**: 0.018 eV per atom
**Formation energy**: 0.174 eV/atom
**V**: 118.4 Å³/f.u.

Cell: 5.753 5.753 3.576 Å, 90.00 90.00 90.00°
Space group P4/mmm (No. 123)
Inequivalent atoms, fractional coordinates:
1 Li 0.000 0.000 0.000 [1 per cell]
2 Pr 0.000 0.500 0.500 [2 per cell]
3 Pu 0.500 0.500 0.000 [1 per cell]

---

[17]
The following is a PBE-GGA calculation of Fe2OsPt after structural relaxation, from Alexandria via LeMat-Bulk.

Computed properties:
**E above lowest polymorph**: 0.211 eV per atom
**Formation energy**: 0.208 eV/atom
**V**: 54.1 Å³/f.u.

Cell: 6.002 6.002 6.002 Å, 90.00 90.00 90.00°
Space group Fm-3m (No. 225)
Inequivalent atoms, fractional coordinates:
1 Fe 0.250 0.250 0.250 [8 per cell]
2 Os 0.000 0.000 0.000 [4 per cell]
3 Pt 0.000 0.000 0.500 [4 per cell]

---

[18]
The following is a PBE-GGA calculation of TlCdPd2 after structural relaxation, from Alexandria via LeMat-Bulk.

Computed properties:
**Formation energy**: 0.192 eV/atom
**V**: 83.1 Å³/f.u.

Cell: 3.034 5.062 10.823 Å, 90.00 90.00 90.00°
Space group Immm (No. 71)
Inequivalent atoms, fractional coordinates:
1 Tl 0.000 0.000 0.000 [2 per cell]
2 Cd 0.000 0.000 0.500 [2 per cell]
3 Pd 0.000 0.000 0.252 [4 per cell]

---

[19]
The following is a PBE-GGA calculation of HfPd2S after structural relaxation, from Alexandria via LeMat-Bulk.

Computed properties:
**V**: 91.1 Å³/f.u.
**Energy relative to the elements, uncorrected**: -0.11 eV per atom

Cell: 5.649 5.649 11.412 Å, 90.00 90.00 90.00°
Space group I-42d (No. 122)
Inequivalent atoms, fractional coordinates:
1 Hf 0.000 0.000 0.000 [4 per cell]
2 Pd 0.215 0.250 0.625 [8 per cell]
3 S 0.000 0.000 0.500 [4 per cell]

---

[20]
The following is a PBE-GGA calculation of Ag7S2I2 after structural relaxation, from Alexandria via LeMat-Bulk.

Computed properties:
**E above lowest polymorph**: 0.000 eV per atom
**V**: 281.1 Å³/f.u.
**Energy relative to the elements, uncorrected**: -0.02 eV per atom

Cell: 4.538 4.577 15.109 Å, 87.47 86.19 63.88°
Space group P1 (No. 1)
Inequivalent atoms, fractional coordinates:
1 Ag 0.000 0.000 0.000 [1 per cell]
2 Ag 0.009 0.048 0.201 [1 per cell]
3 Ag 0.045 0.949 0.621 [1 per cell]
4 Ag 0.340 0.352 0.060 [1 per cell]
5 Ag 0.652 0.767 0.500 [1 per cell]
6 Ag 0.671 0.656 0.919 [1 per cell]
7 Ag 0.680 0.704 0.120 [1 per cell]
8 S 0.294 0.274 0.900 [1 per cell]
9 S 0.387 0.432 0.221 [1 per cell]
10 I 0.014 0.115 0.429 [1 per cell]
11 I 0.682 0.602 0.692 [1 per cell]